Material: CeZn2Co
Method: DFT, PBE-GGA
State: relaxed

Values from the calculation:
Its calculated volume is 75.1 Å³/cell. The symmetry is R-3m, No. 166. The value obtained for the formation energy is -52 meV per atom. The crystal system is trigonal.

Structure (POSCAR):
```
CeZn2Co
1.0
4.176 0.000 0.000
2.088 3.616 0.000
2.088 1.205 4.976
Zn Co Ce
2 1 1
Direct
0.795 0.795 0.615
0.205 0.205 0.385
0.500 0.500 0.500
0.000 0.000 0.000
```

---

Material: Ce2Zn15Co2
Method: DFT, PBE-GGA
State: relaxed

Values from the calculation:
Its calculated volume is 306.6 Å³/cell. The symmetry is R-3m, No. 166. The value obtained for the formation energy is -173 meV per atom. The crystal system is trigonal.

Structure (POSCAR):
```
Ce2Zn15Co2
1.0
6.769 -0.123 -0.110
0.756 6.728 -0.110
0.756 0.663 6.696
Ce Zn Co
2 15 2
Direct
0.325 0.325 0.325
0.675 0.675 0.675
0.500 0.000 0.000
0.000 0.000 0.500
0.000 0.500 0.000
0.000 0.714 0.286
0.714 0.286 0.000
0.286 0.000 0.714
0.286 0.714 0.000
0.714 0.000 0.286
0.000 0.286 0.714
0.159 0.650 0.650
0.650 0.650 0.159
0.650 0.159 0.650
0.841 0.350 0.350
0.350 0.350 0.841
0.350 0.841 0.350
0.145 0.145 0.145
0.855 0.855 0.855
```

---

Material: CeZnCo2
Method: DFT, PBE-GGA
State: relaxed

Values from the calculation:
Its calculated volume is 282.9 Å³/cell. The symmetry is Pmma, No. 51. The value obtained for the formation energy is 239 meV per atom. The crystal system is orthorhombic.

Structure (POSCAR):
```
CeZnCo2
1.0
6.213 0.000 0.000
0.000 5.763 0.000
0.000 0.000 7.901
Ce Zn Co
4 4 8
Direct
0.000 0.250 0.643
0.500 0.750 0.227
0.000 0.750 0.357
0.500 0.250 0.773
0.500 0.750 0.732
0.500 0.250 0.268
0.000 0.250 0.253
0.000 0.750 0.747
0.000 0.000 0.000
0.500 0.500 0.500
0.293 0.750 0.989
0.707 0.250 0.011
0.707 0.750 0.989
0.293 0.250 0.011
0.000 0.500 0.000
0.500 0.000 0.500
```

---

Material: CeZnCo2
Method: DFT, PBE-GGA
State: relaxed

Values from the calculation:
Its calculated volume is 60.2 Å³/cell. The symmetry is P4/mmm, No. 123. The value obtained for the formation energy is -107 meV per atom. The crystal system is tetragonal.

Structure (POSCAR):
```
CeZnCo2
1.0
3.441 0.000 0.000
0.000 4.184 0.000
0.000 0.000 4.184
Zn Co Ce
1 2 1
Direct
0.500 0.000 0.000
0.000 0.000 0.500
0.000 0.500 0.000
0.500 0.500 0.500
```

---

Material: CeZn2Co9
Method: DFT, PBE-GGA
State: relaxed

Values from the calculation:
Its calculated volume is 308.3 Å³/cell. The symmetry is P4/mbm, No. 127. The value obtained for the formation energy is -91 meV per atom. The crystal system is tetragonal.

Structure (POSCAR):
```
CeZn2Co9
1.0
-0.522 4.317 -1.851
2.649 -2.734 -7.124
-7.578 -1.825 -2.117
Ce Zn Co
2 4 18
Direct
0.000 0.500 0.500
0.000 0.000 0.000
0.000 0.618 0.118
0.000 0.382 0.882
0.000 0.118 0.382
0.000 0.882 0.618
0.500 0.500 0.000
0.500 0.000 0.500
0.500 0.710 0.569
0.500 0.290 0.431
0.500 0.210 0.931
0.500 0.790 0.069
0.500 0.431 0.710
0.500 0.569 0.290
0.500 0.069 0.210
0.500 0.931 0.790
0.763 0.822 0.322
0.763 0.178 0.678
0.763 0.322 0.178
0.763 0.678 0.822
0.237 0.178 0.678
0.237 0.822 0.322
0.237 0.678 0.822
0.237 0.322 0.178
```

---

Material: Ce2Zn3Co2
Method: DFT, PBE-GGA
State: relaxed

Values from the calculation:
Its calculated volume is 125.1 Å³/cell. The symmetry is C2/m, No. 12. The value obtained for the formation energy is -306 meV per atom. The crystal system is monoclinic.

Structure (POSCAR):
```
Ce2Zn3Co2
1.0
-1.839 -3.474 -1.454
-0.063 0.476 4.982
-5.132 3.956 -2.959
Ce Zn Co
2 3 2
Direct
0.868 0.736 0.230
0.132 0.264 0.770
0.500 0.000 0.000
0.643 0.286 0.450
0.357 0.714 0.550
0.896 0.793 0.796
0.104 0.207 0.204
```

---

Material: Ce3Zn2Co4
Method: DFT, PBE-GGA
State: relaxed

Values from the calculation:
Its calculated volume is 159.5 Å³/cell. The symmetry is C2/m, No. 12. The value obtained for the formation energy is -270 meV per atom. The crystal system is monoclinic.

Structure (POSCAR):
```
Ce3Zn2Co4
1.0
-2.620 3.376 0.758
-0.399 -3.790 3.076
6.028 3.658 4.538
Ce Zn Co
3 2 4
Direct
0.369 0.738 0.604
0.000 0.000 0.000
0.631 0.262 0.396
0.320 0.641 0.215
0.680 0.359 0.785
0.756 0.513 0.082
0.103 0.205 0.637
0.897 0.795 0.363
0.244 0.487 0.918
```

---

Material: CeZn4Co2
Method: DFT, PBE-GGA
State: relaxed

Values from the calculation:
Its calculated volume is 219.1 Å³/cell. The symmetry is P4_2/mnm, No. 136. The value obtained for the formation energy is -249 meV per atom. The crystal system is tetragonal.

Structure (POSCAR):
```
CeZn4Co2
1.0
4.274 0.000 0.000
0.000 7.160 0.000
0.000 0.000 7.160
Zn Co Ce
8 4 2
Direct
0.000 0.078 0.341
0.000 0.922 0.659
0.500 0.159 0.578
0.500 0.841 0.422
0.500 0.422 0.841
0.500 0.578 0.159
0.000 0.341 0.078
0.000 0.659 0.922
0.000 0.281 0.719
0.000 0.719 0.281
0.500 0.781 0.781
0.500 0.219 0.219
0.500 0.000 0.000
0.000 0.500 0.500
```

---

Material: CeZn5Co2
Method: DFT, PBE-GGA
State: relaxed

Values from the calculation:
Its calculated volume is 123.8 Å³/cell. The symmetry is Immm, No. 71. The value obtained for the formation energy is -176 meV per atom. The crystal system is orthorhombic.

Structure (POSCAR):
```
CeZn5Co2
1.0
-1.878 2.917 -1.003
0.952 0.777 -6.028
-5.304 -2.001 -2.389
Ce Zn Co
1 5 2
Direct
0.000 0.000 0.000
0.000 0.500 0.500
0.657 0.527 0.159
0.343 0.473 0.841
0.343 0.841 0.473
0.657 0.159 0.527
0.713 0.787 0.787
0.287 0.213 0.213
```

---

Material: Ce2Zn2Co3
Method: DFT, PBE-GGA
State: relaxed

Values from the calculation:
Its calculated volume is 123.1 Å³/cell. The symmetry is C2/m, No. 12. The value obtained for the formation energy is -163 meV per atom. The crystal system is monoclinic.

Structure (POSCAR):
```
Ce2Zn2Co3
1.0
-1.619 -2.759 1.709
1.266 -3.319 -4.161
6.285 -0.342 1.553
Ce Zn Co
2 2 3
Direct
0.365 0.142 0.730
0.635 0.858 0.270
0.100 0.360 0.201
0.900 0.640 0.799
0.000 0.000 0.000
0.250 0.645 0.501
0.750 0.355 0.499
```

---

Material: CeZn7Co5
Method: DFT, PBE-GGA
State: relaxed

Values from the calculation:
Its calculated volume is 183.3 Å³/cell. The symmetry is Imm2, No. 44. The value obtained for the formation energy is -126 meV per atom. The crystal system is orthorhombic.

Structure (POSCAR):
```
CeZn7Co5
1.0
-0.046 -2.308 4.342
-0.566 -6.521 -0.688
6.057 -1.665 1.964
Ce Zn Co
1 7 5
Direct
0.023 0.977 0.977
0.668 0.332 0.332
0.358 0.642 0.642
0.990 0.359 0.661
0.990 0.661 0.359
0.272 0.228 0.228
0.498 0.784 0.220
0.498 0.220 0.784
0.491 0.000 0.511
0.998 0.000 0.511
0.491 0.511 0.000
0.998 0.511 0.000
0.725 0.775 0.775
```

---

Material: CeZnCo2
Method: DFT, PBE-GGA
State: relaxed

Values from the calculation:
Its calculated volume is 364.0 Å³/cell. The symmetry is P6_3/mmc, No. 194. The value obtained for the formation energy is -194 meV per atom. The crystal system is hexagonal.

Structure (POSCAR):
```
CeZnCo2
1.0
-1.633 -4.163 -2.518
5.022 0.730 0.766
-0.947 -7.970 13.794
Ce Zn Co
6 6 12
Direct
0.333 0.667 0.550
0.667 0.333 0.450
0.667 0.333 0.050
0.333 0.667 0.950
0.333 0.667 0.750
0.667 0.333 0.250
0.000 0.000 0.250
0.000 0.000 0.750
0.333 0.667 0.250
0.667 0.333 0.750
0.000 0.000 0.000
0.000 0.000 0.500
0.168 0.337 0.125
0.832 0.663 0.875
0.663 0.832 0.125
0.832 0.663 0.625
0.337 0.168 0.875
0.168 0.337 0.375
0.168 0.832 0.125
0.337 0.168 0.625
0.832 0.168 0.875
0.663 0.832 0.375
0.832 0.168 0.625
0.168 0.832 0.375
```

---

Material: CeZnCo2
Method: DFT, PBE-GGA
State: relaxed

Values from the calculation:
Its calculated volume is 60.9 Å³/cell. The symmetry is P4/mmm, No. 123. The value obtained for the formation energy is 7 meV per atom. The crystal system is tetragonal.

Structure (POSCAR):
```
CeZnCo2
1.0
-1.414 2.754 0.342
-2.560 -1.147 -1.353
-2.159 -1.805 5.613
Zn Co Ce
1 2 1
Direct
0.500 0.500 0.000
0.000 0.000 0.797
0.000 0.000 0.203
0.500 0.500 0.500
```

---

Material: CeZn2Co
Method: DFT, PBE-GGA
State: relaxed

Values from the calculation:
Its calculated volume is 136.6 Å³/cell. The symmetry is Cmcm, No. 63. The value obtained for the formation energy is -226 meV per atom. The crystal system is orthorhombic.

Structure (POSCAR):
```
CeZn2Co
1.0
4.378 0.000 0.000
0.000 5.050 0.000
0.000 -2.525 6.179
Zn Co Ce
4 2 2
Direct
0.250 0.687 0.887
0.750 0.313 0.113
0.250 0.200 0.887
0.750 0.800 0.113
0.250 0.636 0.273
0.750 0.364 0.727
0.250 0.201 0.402
0.750 0.799 0.598
```

---

Material: Ce4ZnCo4
Method: DFT, PBE-GGA
State: relaxed

Values from the calculation:
Its calculated volume is 178.8 Å³/cell. The symmetry is I4/m, No. 87. The value obtained for the formation energy is -159 meV per atom. The crystal system is tetragonal.

Structure (POSCAR):
```
Ce4ZnCo4
1.0
-3.571 -3.250 0.483
1.698 -4.896 3.984
-3.966 1.476 4.982
Ce Zn Co
4 1 4
Direct
0.792 0.622 0.794
0.208 0.378 0.206
0.586 0.206 0.622
0.414 0.794 0.378
0.000 0.000 0.000
0.739 0.343 0.179
0.261 0.657 0.821
0.918 0.821 0.343
0.082 0.179 0.657
```

---

Material: Ce3ZnCo3
Method: DFT, PBE-GGA
State: relaxed

Values from the calculation:
Its calculated volume is 260.2 Å³/cell. The symmetry is Cmcm, No. 63. The value obtained for the formation energy is -259 meV per atom. The crystal system is orthorhombic.

Structure (POSCAR):
```
Ce3ZnCo3
1.0
-3.714 2.317 0.270
0.482 -2.939 -3.765
-5.882 -10.275 7.269
Ce Zn Co
6 2 6
Direct
0.200 0.400 0.889
0.800 0.600 0.111
0.200 0.400 0.611
0.800 0.600 0.389
0.486 0.971 0.750
0.514 0.029 0.250
0.500 0.000 0.000
0.500 0.000 0.500
0.935 0.870 0.914
0.065 0.130 0.086
0.935 0.870 0.586
0.065 0.130 0.414
0.753 0.506 0.750
0.247 0.494 0.250
```

---

Material: CeZn2Co
Method: DFT, PBE-GGA
State: relaxed

Values from the calculation:
Its calculated volume is 138.7 Å³/cell. The symmetry is Cmcm, No. 63. The value obtained for the formation energy is -370 meV per atom. The crystal system is orthorhombic.

Structure (POSCAR):
```
CeZn2Co
1.0
-1.938 3.391 -0.856
-2.721 -4.025 -0.452
-2.179 0.636 7.455
Zn Co Ce
4 2 2
Direct
0.846 0.691 0.461
0.154 0.309 0.539
0.154 0.309 0.961
0.846 0.691 0.039
0.307 0.613 0.250
0.693 0.387 0.750
0.551 0.104 0.250
0.449 0.896 0.750
```

---

Material: Ce6ZnCo2
Method: DFT, PBE-GGA
State: relaxed

Values from the calculation:
Its calculated volume is 199.4 Å³/cell. The symmetry is C2/m, No. 12. The value obtained for the formation energy is -167 meV per atom. The crystal system is monoclinic.

Structure (POSCAR):
```
Ce6ZnCo2
1.0
4.735 0.000 0.000
-2.368 5.008 -0.318
0.000 -0.411 8.437
Ce Zn Co
6 1 2
Direct
0.062 0.124 0.859
0.606 0.212 0.181
0.394 0.788 0.819
0.700 0.401 0.595
0.300 0.599 0.405
0.938 0.876 0.141
0.000 0.000 0.500
0.735 0.470 0.878
0.265 0.530 0.122
```

---

Material: Ce11Zn9Co4
Method: DFT, PBE-GGA
State: relaxed

Values from the calculation:
Its calculated volume is 501.8 Å³/cell. The symmetry is Cmmm, No. 65. The value obtained for the formation energy is -263 meV per atom. The crystal system is orthorhombic.

Structure (POSCAR):
```
Ce11Zn9Co4
1.0
3.567 0.000 0.000
0.000 11.375 -4.683
0.000 0.164 12.300
Ce Zn Co
11 9 4
Direct
0.000 0.579 0.934
0.000 0.421 0.066
0.000 0.934 0.579
0.000 0.066 0.421
0.000 0.627 0.373
0.000 0.373 0.627
0.000 0.844 0.156
0.000 0.156 0.844
0.000 0.000 0.000
0.000 0.688 0.688
0.000 0.312 0.312
0.500 0.638 0.168
0.500 0.362 0.832
0.500 0.168 0.638
0.500 0.832 0.362
0.500 0.777 0.916
0.500 0.223 0.084
0.500 0.916 0.777
0.500 0.084 0.223
0.500 0.500 0.500
0.500 0.552 0.754
0.500 0.448 0.246
0.500 0.754 0.552
0.500 0.246 0.448
```

---

Material: Ce2Zn3Co4
Method: DFT, PBE-GGA
State: relaxed

Values from the calculation:
Its calculated volume is 278.7 Å³/cell. The symmetry is Cmce, No. 64. The value obtained for the formation energy is -252 meV per atom. The crystal system is orthorhombic.

Structure (POSCAR):
```
Ce2Zn3Co4
1.0
5.496 0.000 0.000
0.000 6.107 0.000
-2.748 0.000 8.301
Ce Zn Co
4 6 8
Direct
0.107 0.584 0.214
0.893 0.416 0.786
0.393 0.084 0.786
0.607 0.916 0.214
0.000 0.000 0.000
0.500 0.500 0.000
0.514 0.750 0.528
0.986 0.250 0.472
0.486 0.250 0.472
0.014 0.750 0.528
0.667 0.750 0.835
0.833 0.250 0.165
0.333 0.250 0.165
0.167 0.750 0.835
0.156 0.966 0.312
0.844 0.034 0.688
0.344 0.466 0.688
0.656 0.534 0.312
```

---

no.,energy (eV per atom),density of states at the Fermi level (states/eV/cell)
1,-3.949,7.07
2,-2.551,11.20
3,-5.116,27.08
4,-5.462,1.55
5,-6.127,30.06
6,-4.577,6.63
7,-5.689,8.68
8,-3.855,9.60
9,-3.490,5.02
10,-5.268,5.75
11,-4.001,10.95
12,-5.548,37.39
13,-5.348,3.91
14,-4.123,11.47
15,-6.096,8.92
16,-6.029,15.97
17,-4.267,4.22
18,-5.844,17.24
19,-4.645,42.32
20,-5.154,12.77